*one*
Compound: Ac2ErCd
Source: Alexandria
Functional: GGA-PBE
Structure: relaxed

Results
For the calculated volume, the calculation gives 144 Å³/f.u.

Unit cell a=3.9851 b=3.9851 c=9.0933 alpha=90.00 beta=90.00 gamma=90.00
Closest atoms and distances in Å follow each position.
Atoms (fractional coordinates):
Ac  0.0000  0.0000  0.2309  4 Cd 3.51, 4 Er 3.73
Ac  0.0000  0.0000  0.7691  4 Cd 3.51, 4 Er 3.73
Er  0.5000  0.5000  0.5000  8 Ac 3.73, 4 Er 3.99
Cd  0.5000  0.5000  0.0000  8 Ac 3.51

*two*
Compound: Ac2ErCd
Source: Alexandria
Functional: GGA-PBE
Structure: relaxed

Results
For the calculated volume, the calculation gives 141 Å³/f.u.

Unit cell a=5.8467 b=5.8467 c=5.8467 alpha=60.00 beta=60.00 gamma=60.00
Closest atoms and distances in Å follow each position.
Atoms (fractional coordinates):
Ac  0.2500  0.2500  0.2500  4 Cd 3.58, 4 Er 3.58
Ac  0.7500  0.7500  0.7500  4 Cd 3.58, 4 Er 3.58
Er  0.0000  0.0000  0.0000  8 Ac 3.58
Cd  0.5000  0.5000  0.5000  8 Ac 3.58

It is *one* that is most stable; the runner-up trails by 73 meV/atom.

*one*
Compound: AcLaErCd
Source: Alexandria
Functional: GGA-PBE
Structure: relaxed

Results
For the calculated volume, the calculation gives 133 Å³/f.u.

Unit cell a=3.8136 b=3.8136 c=9.1303 alpha=90.00 beta=90.00 gamma=90.00
Closest atoms and distances in Å follow each position.
Atoms (fractional coordinates):
Ac  0.0000  0.0000  0.0000  4 Er 3.71, 4 Ac 3.81, 4 La 3.83
La  0.5000  0.5000  0.7020  4 Cd 3.44, 4 La 3.81, 4 Ac 3.83
Er  0.5000  0.5000  0.2793  4 Cd 3.20
Cd  0.0000  0.0000  0.4675  4 Er 3.20, 4 La 3.44

*two*
Compound: AcLaErCd
Source: Alexandria
Functional: GGA-PBE
Structure: relaxed

Results
For the calculated volume, the calculation gives 132 Å³/f.u.

Unit cell a=5.7114 b=5.7114 c=5.7114 alpha=60.00 beta=60.00 gamma=60.00
Closest atoms and distances in Å follow each position.
Atoms (fractional coordinates):
Ac  0.0000  0.0000  0.0000  4 Er 3.50, 4 La 3.50
La  0.2500  0.2500  0.2500  4 Cd 3.50, 4 Ac 3.50
Er  0.7500  0.7500  0.7500  4 Ac 3.50, 4 Cd 3.50
Cd  0.5000  0.5000  0.5000  4 La 3.50, 4 Er 3.50

It is *one* that is most stable; the runner-up trails by 188 meV/atom.

*one*
Compound: AcSmErCd
Source: Alexandria
Functional: GGA-PBE
Structure: relaxed

Results
For the calculated volume, the calculation gives 127 Å³/f.u.

Unit cell a=5.6398 b=5.6398 c=5.6398 alpha=60.00 beta=60.00 gamma=60.00
Closest atoms and distances in Å follow each position.
Atoms (fractional coordinates):
Ac  0.0000  0.0000  0.0000  4 Er 3.45, 4 Sm 3.45
Sm  0.2500  0.2500  0.2500  4 Cd 3.45, 4 Ac 3.45
Er  0.7500  0.7500  0.7500  4 Cd 3.45, 4 Ac 3.45
Cd  0.5000  0.5000  0.5000  4 Er 3.45, 4 Sm 3.45

*two*
Compound: AcSmErCd
Source: Alexandria
Functional: GGA-PBE
Structure: relaxed

Results
For the calculated volume, the calculation gives 129 Å³/f.u.

Unit cell a=3.7854 b=3.7854 c=8.9992 alpha=90.00 beta=90.00 gamma=90.00
Closest atoms and distances in Å follow each position.
Atoms (fractional coordinates):
Ac  0.0000  0.0000  0.0000  4 Er 3.73, 4 Sm 3.78, 4 Ac 3.79
Sm  0.5000  0.5000  0.7030  4 Cd 3.32
Er  0.5000  0.5000  0.2882  4 Cd 3.21
Cd  0.0000  0.0000  0.4847  4 Er 3.21, 4 Sm 3.32

It is *two* that is most stable; the runner-up trails by 198 meV/atom.

*one*
Compound: Ac2EuCd
Source: Alexandria
Functional: GGA-PBE
Structure: relaxed

Results
For the calculated volume, the calculation gives 149 Å³/f.u.

Unit cell a=5.9091 b=5.9091 c=4.2706 alpha=90.00 beta=90.00 gamma=90.00
Closest atoms and distances in Å follow each position.
Atoms (fractional coordinates):
Ac  0.0000  0.5000  0.0000  4 Cd 3.65, 4 Eu 3.65
Ac  0.5000  0.0000  0.0000  4 Cd 3.65, 4 Eu 3.65
Eu  0.0000  0.0000  0.5000  8 Ac 3.65
Cd  0.5000  0.5000  0.5000  8 Ac 3.65

*two*
Compound: Ac2EuCd
Source: Alexandria
Functional: GGA-PBE
Structure: relaxed

Results
For the calculated volume, the calculation gives 155 Å³/f.u.

Unit cell a=4.0697 b=4.0697 c=9.3813 alpha=90.00 beta=90.00 gamma=90.00
Closest atoms and distances in Å follow each position.
Atoms (fractional coordinates):
Ac  0.0000  0.0000  0.2142  4 Cd 3.51
Ac  0.0000  0.0000  0.7858  4 Cd 3.51
Eu  0.5000  0.5000  0.5000  8 Ac 3.93, 4 Eu 4.07
Cd  0.5000  0.5000  0.0000  8 Ac 3.51

It is *two* that is most stable; the runner-up trails by 46 meV/atom.

*one*
Compound: Ac2EuCd
Source: Alexandria
Functional: GGA-PBE
Structure: relaxed

Results
For the calculated volume, the calculation gives 170 Å³/f.u.

Unit cell a=13.5036 b=13.5036 c=13.5036 alpha=16.35 beta=16.35 gamma=16.35
Closest atoms and distances in Å follow each position.
Atoms (fractional coordinates):
Ac  0.0866  0.0866  0.0866  1 Cd 3.46, 6 Ac 3.84
Ac  0.9134  0.9134  0.9134  1 Cd 3.46, 6 Ac 3.84
Eu  0.5000  0.5000  0.5000  6 Eu 3.84, 6 Ac 3.89
Cd  0.0000  0.0000  0.0000  2 Ac 3.46, 6 Cd 3.84

*two*
Compound: Ac2EuCd
Source: Alexandria
Functional: GGA-PBE
Structure: relaxed

Results
For the calculated volume, the calculation gives 149 Å³/f.u.

Unit cell a=5.9490 b=5.9490 c=5.9490 alpha=60.00 beta=60.00 gamma=60.00
Closest atoms and distances in Å follow each position.
Atoms (fractional coordinates):
Ac  0.2500  0.2500  0.2500  4 Cd 3.64, 4 Eu 3.64
Ac  0.7500  0.7500  0.7500  4 Eu 3.64, 4 Cd 3.64
Eu  0.0000  0.0000  0.0000  8 Ac 3.64
Cd  0.5000  0.5000  0.5000  8 Ac 3.64

It is *two* that is most stable; the runner-up trails by 264 meV/atom.

*one*
Compound: AcEuCd
Source: Alexandria
Functional: GGA-PBE
Structure: relaxed

Results
For the calculated volume, the calculation gives 109 Å³/f.u.

Unit cell a=7.3314 b=7.3314 c=7.3314 alpha=148.16 beta=148.16 gamma=45.65
Closest atoms and distances in Å follow each position.
Atoms (fractional coordinates):
Ac  0.0000  0.0000  0.0000  4 Cd 3.51, 1 Eu 3.89
Eu  0.2879  0.2879  0.0000  4 Cd 3.39
Cd  0.6517  0.6517  0.0000  4 Eu 3.39, 4 Ac 3.51

*two*
Compound: AcEuCd
Source: Alexandria
Functional: GGA-PBE
Structure: relaxed

Results
For the calculated volume, the calculation gives 107 Å³/f.u.

Unit cell a=5.6232 b=5.6232 c=3.9108 alpha=90.00 beta=90.00 gamma=120.00
Closest atoms and distances in Å follow each position.
Atoms (fractional coordinates):
Ac  0.0000  0.0000  0.0000  3 Cd 3.58, 6 Eu 3.70-3.89, 2 Ac 3.91
Eu  0.3333  0.6667  0.4515  3 Cd 3.31, 3 Ac 3.70
Cd  0.6667  0.3333  0.6163  3 Eu 3.31, 3 Ac 3.58

*three*
Compound: AcEuCd
Source: Alexandria
Functional: GGA-PBE
Structure: relaxed

Results
For the calculated volume, the calculation gives 122 Å³/f.u.

Unit cell a=5.5709 b=5.5709 c=5.5709 alpha=60.00 beta=60.00 gamma=60.00
Closest atoms and distances in Å follow each position.
Atoms (fractional coordinates):
Ac  0.0000  0.0000  0.0000  4 Cd 3.41
Eu  0.5000  0.5000  0.5000  4 Cd 3.41
Cd  0.7500  0.7500  0.7500  4 Ac 3.41, 4 Eu 3.41

It is *one* that is most stable; the runner-up trails by 107 meV/atom.

*one*
Compound: AcCd4Ga
Source: Alexandria
Functional: GGA-PBE
Structure: relaxed

Results
For the calculated volume, the calculation gives 157 Å³/f.u.

Unit cell a=6.0609 b=6.0609 c=6.0609 alpha=60.00 beta=60.00 gamma=60.00
Closest atoms and distances in Å follow each position.
Atoms (fractional coordinates):
Ac  0.0000  0.0000  0.0000  12 Cd 3.55, 4 Ga 3.71
Cd  0.3753  0.3753  0.3753  6 Cd 3.02-3.04
Cd  0.3753  0.3753  0.8740  6 Cd 3.02-3.04
Cd  0.3753  0.8740  0.3753  6 Cd 3.02-3.04
Cd  0.8740  0.3753  0.3753  6 Cd 3.02-3.04
Ga  0.7500  0.7500  0.7500  12 Cd 3.55, 4 Ac 3.71

*two*
Compound: AcCd4Ga
Source: Alexandria
Functional: GGA-PBE
Structure: relaxed

Results
For the calculated volume, the calculation gives 151 Å³/f.u.

Unit cell a=8.9789 b=8.9789 c=7.4860 alpha=90.00 beta=90.00 gamma=149.98
Closest atoms and distances in Å follow each position.
Atoms (fractional coordinates):
Ac  0.1265  0.8735  0.7500  11 Cd 3.37-3.73, 2 Ga 3.39
Ac  0.8735  0.1265  0.2500  11 Cd 3.37-3.73, 2 Ga 3.39
Cd  0.0680  0.9320  0.2500  1 Ga 2.84
Cd  0.3246  0.6754  0.5567  3 Ga 2.81-2.91, 2 Cd 2.89-3.07
Cd  0.3246  0.6754  0.9433  3 Ga 2.81-2.91, 2 Cd 2.89-3.07
Cd  0.5000  0.5000  0.0000  6 Cd 3.07-3.21
Cd  0.5000  0.5000  0.5000  6 Cd 3.07-3.21
Cd  0.6754  0.3246  0.0567  3 Ga 2.81-2.91, 2 Cd 2.89-3.07
Cd  0.6754  0.3246  0.4433  3 Ga 2.81-2.91, 2 Cd 2.89-3.07
Cd  0.9320  0.0680  0.7500  1 Ga 2.84
Ga  0.2315  0.7685  0.2500  7 Cd 2.81-2.91
Ga  0.7685  0.2315  0.7500  7 Cd 2.81-2.91

*three*
Compound: AcCd4Ga
Source: Alexandria
Functional: GGA-PBE
Structure: relaxed

Results
For the calculated volume, the calculation gives 152 Å³/f.u.

Unit cell a=8.1490 b=4.6735 c=7.9801 alpha=90.00 beta=90.00 gamma=90.00
Closest atoms and distances in Å follow each position.
Atoms (fractional coordinates):
Ac  0.2500  0.0000  0.1240  1 Ga 3.16, 6 Cd 3.42-3.46
Ac  0.7500  0.0000  0.8760  1 Ga 3.16, 6 Cd 3.42-3.46
Cd  0.0000  0.0000  0.5000  2 Ga 2.73
Cd  0.0573  0.5000  0.8130  2 Ga 2.90, 3 Cd 3.13-3.20
Cd  0.2500  0.5000  0.4376  8 Cd 3.14-3.38, 2 Ga 3.29, 2 Ac 3.42
Cd  0.4427  0.5000  0.8130  2 Ga 2.90, 3 Cd 3.13-3.20
Cd  0.5000  0.0000  0.5000  2 Ga 2.73
Cd  0.5573  0.5000  0.1870  2 Ga 2.90, 3 Cd 3.13-3.20
Cd  0.7500  0.5000  0.5624  8 Cd 3.14-3.38, 2 Ga 3.29, 2 Ac 3.42
Cd  0.9427  0.5000  0.1870  2 Ga 2.90, 3 Cd 3.13-3.20
Ga  0.2500  0.0000  0.7279  6 Cd 2.73-2.90
Ga  0.7500  0.0000  0.2721  6 Cd 2.73-2.90

It is *two* that is most stable; the runner-up trails by 36 meV/atom.

*one*
Compound: Ac3Cd2Ga
Source: Alexandria
Functional: GGA-PBE
Structure: relaxed

Results
For the calculated volume, the calculation gives 196 Å³/f.u.

Unit cell a=5.6841 b=5.6841 c=6.9897 alpha=90.00 beta=90.00 gamma=120.00
Closest atoms and distances in Å follow each position.
Atoms (fractional coordinates):
Ac  0.0000  0.0000  0.0000  6 Cd 3.45, 2 Ga 3.49
Ac  0.3333  0.6667  0.6548  3 Ga 3.46, 5 Cd 3.49-3.54
Ac  0.6667  0.3333  0.3452  3 Ga 3.46, 5 Cd 3.49-3.54
Cd  0.3333  0.6667  0.1537  8 Ac 3.45-3.54
Cd  0.6667  0.3333  0.8463  8 Ac 3.45-3.54
Ga  0.0000  0.0000  0.5000  8 Ac 3.46-3.49

*two*
Compound: Ac3Cd2Ga
Source: Alexandria
Functional: GGA-PBE
Structure: relaxed

Results
For the calculated volume, the calculation gives 195 Å³/f.u.

Unit cell a=3.9983 b=3.9983 c=12.2008 alpha=90.00 beta=90.00 gamma=90.00
Closest atoms and distances in Å follow each position.
Atoms (fractional coordinates):
Ac  0.0000  0.0000  0.0000  8 Cd 3.51
Ac  0.0000  0.0000  0.3453  4 Ga 3.40, 4 Cd 3.54, 1 Ac 3.78
Ac  0.0000  0.0000  0.6547  4 Ga 3.40, 4 Cd 3.54, 1 Ac 3.78
Cd  0.5000  0.5000  0.1705  8 Ac 3.51-3.54
Cd  0.5000  0.5000  0.8295  8 Ac 3.51-3.54
Ga  0.5000  0.5000  0.5000  8 Ac 3.40

It is *two* that is most stable; the runner-up trails by 14 meV/atom.